(1)
! PBE-GGA Sm7Mg2Co2, relaxed; values from VASP
&SYSTEM
  ibrav = 0, nat = 11, ntyp = 3
/
ATOMIC_SPECIES
Sm 150.36 Sm.upf
Mg 24.30 Mg.upf
Co 58.93 Co.upf
CELL_PARAMETERS angstrom
-1.8162 8.6635 4.9245
1.8162 -8.6635 4.9245
1.8162 8.6635 -4.9245
ATOMIC_POSITIONS angstrom
Sm 0.0000 0.0000 0.0000
Sm 1.8162 6.0161 -0.6834
Sm 1.8162 3.0933 1.2158
Sm 0.0000 2.6474 4.2411
Sm 0.0000 6.0607 2.6490
Sm 0.0000 11.2664 2.6490
Sm 0.0000 5.5702 6.1403
Mg 1.8162 0.0000 2.9460
Mg 0.0000 0.0000 6.2511
Co 1.8162 -4.6904 4.2230
Co 1.8162 4.6904 4.2230
! ΔH_f (0 K): -46 meV/atom
! Calculated density: 6.5 Mg/m³
! Space-group type: No. 44

---

(2)
! PBE-GGA Sm4MgCo2, relaxed; values from VASP
&SYSTEM
  ibrav = 0, nat = 14, ntyp = 3
/
ATOMIC_SPECIES
Sm 150.36 Sm.upf
Mg 24.30 Mg.upf
Co 58.93 Co.upf
CELL_PARAMETERS angstrom
5.1945 0.0000 0.0000
-2.5973 4.4986 0.0000
0.0000 0.0000 14.6576
ATOMIC_POSITIONS angstrom
Sm 0.0000 0.0000 0.0000
Sm 0.0000 0.0000 7.3288
Sm 0.0000 2.9991 1.7420
Sm 0.0000 2.9991 5.5869
Sm 0.0000 2.9991 10.9932
Sm 2.5973 1.4995 3.6644
Sm 2.5973 1.4995 9.0708
Sm 2.5973 1.4995 12.9157
Mg 0.0000 0.0000 3.6644
Mg 0.0000 0.0000 10.9932
Co 0.0000 2.9991 8.2399
Co 0.0000 2.9991 13.7466
Co 2.5973 1.4995 0.9110
Co 2.5973 1.4995 6.4178
! Excess energy over the best structure of this formula in the dataset: 28 kJ/mol of formula units
! ΔH_f (0 K): 33 meV/atom
! Calculated density: 7.2 Mg/m³
! Space-group type: No. 194

---

(3)
! PBE-GGA Sm2MgCo, relaxed; values from VASP
&SYSTEM
  ibrav = 0, nat = 16, ntyp = 3
/
ATOMIC_SPECIES
Sm 150.36 Sm.upf
Mg 24.30 Mg.upf
Co 58.93 Co.upf
CELL_PARAMETERS angstrom
13.5208 0.0000 0.0000
0.0000 3.7553 0.0000
-0.6724 0.0000 7.9319
ATOMIC_POSITIONS angstrom
Sm 0.2929 0.0000 2.3514
Sm 2.6660 0.0000 5.3993
Sm 3.4220 1.8776 2.5325
Sm 5.7951 1.8776 5.5804
Sm 7.0533 1.8776 2.3514
Sm 9.4264 1.8776 5.3993
Sm 10.1824 0.0000 2.5325
Sm 12.5555 0.0000 5.5804
Mg 1.0077 1.8776 7.5674
Mg 5.0803 0.0000 0.3645
Mg 7.7681 0.0000 7.5674
Mg 11.8407 1.8776 0.3645
Co 0.9131 1.8776 4.5417
Co 5.1749 0.0000 3.3902
Co 7.6735 0.0000 4.5417
Co 11.9353 1.8776 3.3902
! Excess energy over the best structure of this formula in the dataset: 0 kJ/mol of formula units
! ΔH_f (0 K): -115 meV/atom
! Calculated density: 6.3 Mg/m³
! Space-group type: No. 12

---

Among the records above, which one has the highest calculated density? Sm4MgCo2

---

Which value of calculated density does entry 1 give? 6.5 Mg/m³

---

Copy entry 1 word for word.
! PBE-GGA Sm7Mg2Co2, relaxed; values from VASP
&SYSTEM
  ibrav = 0, nat = 11, ntyp = 3
/
ATOMIC_SPECIES
Sm 150.36 Sm.upf
Mg 24.30 Mg.upf
Co 58.93 Co.upf
CELL_PARAMETERS angstrom
-1.8162 8.6635 4.9245
1.8162 -8.6635 4.9245
1.8162 8.6635 -4.9245
ATOMIC_POSITIONS angstrom
Sm 0.0000 0.0000 0.0000
Sm 1.8162 6.0161 -0.6834
Sm 1.8162 3.0933 1.2158
Sm 0.0000 2.6474 4.2411
Sm 0.0000 6.0607 2.6490
Sm 0.0000 11.2664 2.6490
Sm 0.0000 5.5702 6.1403
Mg 1.8162 0.0000 2.9460
Mg 0.0000 0.0000 6.2511
Co 1.8162 -4.6904 4.2230
Co 1.8162 4.6904 4.2230
! ΔH_f (0 K): -46 meV/atom
! Calculated density: 6.5 Mg/m³
! Space-group type: No. 44

---

The lowest ΔH_f (0 K) belongs to which entry? Sm2MgCo